Entry a
K2YMn | PBE | relaxed

Cell and atoms, written as POSCAR:
```
K2YMn
1.0
5.8874 0.0000 0.0000
0.0000 5.8874 0.0000
0.0000 0.0000 8.3684
K Y Mn
4 2 2
direct
0.0000 0.0000 0.0000
0.0000 0.5000 0.2500
0.5000 0.0000 0.7500
0.5000 0.5000 0.5000
0.0000 0.0000 0.5000
0.5000 0.5000 0.0000
0.0000 0.5000 0.7500
0.5000 0.0000 0.2500
```

Computed properties:
As for the theoretical density: 2.542 g/cm3.

Entry b
K2YMn | PBE | relaxed

Cell and atoms, written as POSCAR:
```
K2YMn
1.0
3.6123 0.0000 0.0000
0.0000 6.7580 0.0000
0.0000 0.0000 13.5669
K Y Mn
4 2 2
direct
0.0000 0.0000 0.0000
0.0000 0.5000 0.2022
0.5000 0.0000 0.7022
0.5000 0.5000 0.5000
0.0000 0.0000 0.3947
0.5000 0.5000 0.8947
0.0000 0.5000 0.7304
0.5000 0.0000 0.2304
```

Computed properties:
As for the theoretical density: 2.227 g/cm3.

entry b is favored, and the nearest alternative lies 17.0 kJ/mol of atoms above it.

Entry a
K2YMn | PBE | relaxed

Cell and atoms, written as POSCAR:
```
K2YMn
1.0
6.6643 0.0000 0.0000
0.0000 13.5885 0.0000
-1.8286 0.0000 3.1531
K Y Mn
4 2 2
direct
0.2500 0.2500 0.0000
0.2500 0.7500 0.0000
0.7500 0.2500 0.0000
0.7500 0.7500 0.0000
0.0000 0.0000 0.5000
0.5000 0.5000 0.5000
0.0000 0.5000 0.5000
0.5000 0.0000 0.5000
```

Computed properties:
As for the theoretical density: 2.583 g/cm3.

Entry b
K2YMn | PBE | relaxed

Cell and atoms, written as POSCAR:
```
K2YMn
1.0
3.4796 0.0000 0.0000
0.0000 3.4796 0.0000
0.0000 0.0000 12.6133
K Y Mn
2 1 1
direct
0.0000 0.0000 0.2218
0.0000 0.0000 0.7782
0.5000 0.5000 0.5000
0.5000 0.5000 0.0000
```

Computed properties:
As for the theoretical density: 2.414 g/cm3.

entry a is favored, and the nearest alternative lies 6.5 kJ/mol of atoms above it.

Entry a
K2YMn | PBE | relaxed

Cell and atoms, written as POSCAR:
```
K2YMn
1.0
4.6266 0.0000 0.0000
0.0000 4.6266 0.0000
0.0000 0.0000 13.3889
K Y Mn
4 2 2
direct
0.0000 0.5000 0.2500
0.0000 0.5000 0.7500
0.5000 0.0000 0.2500
0.5000 0.0000 0.7500
0.0000 0.0000 0.0000
0.5000 0.5000 0.5000
0.0000 0.0000 0.5000
0.5000 0.5000 0.0000
```

Computed properties:
As for the theoretical density: 2.573 g/cm3.

Entry b
K2YMn | PBE | relaxed

Cell and atoms, written as POSCAR:
```
K2YMn
1.0
4.3111 0.0000 0.0000
0.0000 4.3111 0.0000
0.0000 0.0000 8.5125
K Y Mn
2 1 1
direct
0.0000 0.0000 0.2171
0.0000 0.0000 0.7829
0.5000 0.5000 0.5000
0.5000 0.5000 0.0000
```

Computed properties:
As for the theoretical density: 2.330 g/cm3.

Entry c
K2YMn | PBE | relaxed

Cell and atoms, written as POSCAR:
```
K2YMn
1.0
8.5185 0.0000 0.0000
0.0000 8.5185 0.0000
0.0000 0.0000 8.5185
K Y Mn
8 4 4
direct
0.2500 0.2500 0.2500
0.2500 0.2500 0.7500
0.2500 0.7500 0.2500
0.2500 0.7500 0.7500
0.7500 0.2500 0.2500
0.7500 0.2500 0.7500
0.7500 0.7500 0.2500
0.7500 0.7500 0.7500
0.0000 0.0000 0.0000
0.0000 0.5000 0.5000
0.5000 0.0000 0.5000
0.5000 0.5000 0.0000
0.0000 0.0000 0.5000
0.0000 0.5000 0.0000
0.5000 0.0000 0.0000
0.5000 0.5000 0.5000
```

Computed properties:
As for the theoretical density: 2.386 g/cm3.

Entry d
K2YMn | PBE | relaxed

Cell and atoms, written as POSCAR:
```
K2YMn
1.0
3.7070 0.0000 0.0000
0.0000 3.7070 0.0000
0.0000 0.0000 11.5918
K Y Mn
2 1 1
direct
0.0000 0.0000 0.0000
0.5000 0.5000 0.3559
0.5000 0.5000 0.7087
0.0000 0.0000 0.5758
```

Computed properties:
As for the theoretical density: 2.315 g/cm3.

entry d is favored, and the nearest alternative lies 33.4 kJ/mol of atoms above it.

Entry a
K2YMn | PBE | relaxed

Cell and atoms, written as POSCAR:
```
K2YMn
1.0
3.5849 0.0000 0.0000
-1.7924 3.1046 0.0000
0.0000 0.0000 39.7705
K Y Mn
6 3 3
direct
0.0000 0.0000 0.2431
0.0000 0.0000 0.7569
0.3333 0.6667 0.4235
0.3333 0.6667 0.9098
0.6667 0.3333 0.0902
0.6667 0.3333 0.5765
0.0000 0.0000 0.0000
0.3333 0.6667 0.6667
0.6667 0.3333 0.3333
0.0000 0.0000 0.5000
0.3333 0.6667 0.1667
0.6667 0.3333 0.8333
```

Computed properties:
As for the theoretical density: 2.499 g/cm3.

Entry b
K2YMn | PBE | relaxed

Cell and atoms, written as POSCAR:
```
K2YMn
1.0
6.6202 0.0000 0.0000
0.0000 3.8042 0.0000
-2.0235 0.0000 12.5583
K Y Mn
4 2 2
direct
0.0000 0.0000 0.0000
0.2096 0.0000 0.6711
0.5000 0.5000 0.0000
0.7096 0.5000 0.6711
0.2569 0.5000 0.2880
0.7569 0.0000 0.2880
0.4733 0.0000 0.4474
0.9733 0.5000 0.4474
```

Computed properties:
As for the theoretical density: 2.332 g/cm3.

Entry c
K2YMn | PBE | relaxed

Cell and atoms, written as POSCAR:
```
K2YMn
1.0
4.6393 0.0000 0.0000
0.0000 4.6393 0.0000
0.0000 0.0000 6.6582
K Y Mn
2 1 1
direct
0.0000 0.5000 0.0000
0.5000 0.0000 0.0000
0.0000 0.0000 0.5000
0.5000 0.5000 0.5000
```

Computed properties:
As for the theoretical density: 2.573 g/cm3.

entry b is favored, and the nearest alternative lies 22.5 kJ/mol of atoms above it.

Entry a
KY3Mn | PBE | relaxed

Cell and atoms, written as POSCAR:
```
KY3Mn
1.0
5.2213 0.0000 0.0000
0.0000 5.2213 0.0000
0.0000 0.0000 5.2213
K Y Mn
1 3 1
direct
0.0000 0.0000 0.0000
0.0000 0.0000 0.5000
0.0000 0.5000 0.0000
0.5000 0.0000 0.0000
0.5000 0.5000 0.5000
```

Computed properties:
As for the theoretical density: 4.208 g/cm3.

Entry b
KY3Mn | PBE | relaxed

Cell and atoms, written as POSCAR:
```
KY3Mn
1.0
5.4728 0.0000 0.0000
0.0000 5.4728 0.0000
0.0000 0.0000 5.4728
K Y Mn
1 3 1
direct
0.0000 0.0000 0.0000
0.0000 0.5000 0.5000
0.5000 0.0000 0.5000
0.5000 0.5000 0.0000
0.5000 0.5000 0.5000
```

Computed properties:
As for the theoretical density: 3.655 g/cm3.

entry b is favored, and the nearest alternative lies 151.3 kJ/mol of atoms above it.

Entry a
KMnZn | PBE | relaxed

Cell and atoms, written as POSCAR:
```
KMnZn
1.0
3.0090 0.0000 0.0000
0.0000 4.1261 0.0000
0.0000 0.0000 12.2652
K Mn Zn
2 2 2
direct
0.0000 0.0000 0.0000
0.5000 0.5000 0.5000
0.0000 0.0000 0.7329
0.5000 0.5000 0.2329
0.0000 0.0000 0.2748
0.5000 0.5000 0.7748
```

Computed properties:
As for the theoretical density: 3.477 g/cm3.

Entry b
KMnZn | PBE | relaxed

Cell and atoms, written as POSCAR:
```
KMnZn
1.0
7.6295 0.0000 0.0000
0.0000 7.6295 0.0000
0.0000 0.0000 7.6295
K Mn Zn
4 4 4
direct
0.0000 0.0000 0.0000
0.0000 0.5000 0.5000
0.5000 0.0000 0.5000
0.5000 0.5000 0.0000
0.2500 0.2500 0.7500
0.2500 0.7500 0.2500
0.7500 0.2500 0.2500
0.7500 0.7500 0.7500
0.2500 0.2500 0.2500
0.2500 0.7500 0.7500
0.7500 0.2500 0.7500
0.7500 0.7500 0.2500
```

Computed properties:
As for the theoretical density: 2.385 g/cm3.

Entry c
KMnZn | PBE | relaxed

Cell and atoms, written as POSCAR:
```
KMnZn
1.0
4.5451 0.0000 0.0000
-2.2725 3.9361 0.0000
0.0000 0.0000 4.7757
K Mn Zn
1 1 1
direct
0.0000 0.0000 0.0000
0.6667 0.3333 0.5000
0.3333 0.6667 0.5000
```

Computed properties:
As for the theoretical density: 3.099 g/cm3.

Entry d
KMnZn | PBE | relaxed

Cell and atoms, written as POSCAR:
```
KMnZn
1.0
3.2748 0.0000 0.0000
-1.6374 2.8361 0.0000
0.0000 0.0000 7.7977
K Mn Zn
1 1 1
direct
0.0000 0.0000 0.0000
0.6667 0.3333 0.3959
0.3333 0.6667 0.6322
```

Computed properties:
As for the theoretical density: 3.656 g/cm3.

entry a is favored, and the nearest alternative lies 17.7 kJ/mol of atoms above it.